[1]
Density functional theory data (PBE-GGA) for a relaxed structure of Tc2GeTe.

## Properties
Relative energy among the computed polymorphs = 0 meV/atom
Uncorrected formation energy = 0.130 eV/atom
Size of the total moment = 0.00 Bohr magnetons per cell

Cell lengths 6.348, 6.348, 6.348 Å; angles 90.00, 90.00, 90.00 degrees
Space group Fm-3m (No. 225)
Asymmetric unit:
1 Tc 0.250 0.250 0.250 [8 per cell]
2 Ge 0.000 0.000 0.000 [4 per cell]
3 Te 0.000 0.000 0.500 [4 per cell]

[2]
Density functional theory data (PBE-GGA) for a relaxed structure of TlTcGeTe2.

## Properties
Uncorrected formation energy = 0.601 eV/atom
Size of the total moment = 0.00 Bohr magnetons per cell

Cell lengths 5.216, 5.216, 5.316 Å; angles 90.00, 90.00, 90.00 degrees
Space group P4/mmm (No. 123)
Asymmetric unit:
1 Tl 0.000 0.000 0.000 [1 per cell]
2 Tc 0.000 0.000 0.500 [1 per cell]
3 Ge 0.500 0.500 0.000 [1 per cell]
4 Te 0.000 0.500 0.500 [2 per cell]

[3]
Density functional theory data (PBE-GGA) for a relaxed structure of Zn2TcGeTe.

## Properties
Uncorrected formation energy = 1.210 eV/atom
Size of the total moment = 2.04 Bohr magnetons per cell

Cell lengths 5.116, 5.116, 5.044 Å; angles 90.00, 90.00, 90.00 degrees
Space group P4/mmm (No. 123)
Asymmetric unit:
1 Zn 0.000 0.500 0.000 [2 per cell]
2 Tc 0.000 0.000 0.500 [1 per cell]
3 Ge 0.500 0.500 0.500 [1 per cell]
4 Te 0.000 0.000 0.000 [1 per cell]